Material: PaFeGeC
Method: DFT, PBE-GGA
State: relaxed

Cell lengths 3.6983, 3.6983, 8.9849 Å; angles 90.00, 90.00, 90.00 degrees
With the nearest neighbours (Å) after each atom.
Space group P4/nmm (No. 129, origin choice 2)
Inequivalent atoms, fractional coordinates:
Pa (0.2500, 0.2500, 0.1464)  1 C 2.31
Fe (0.2500, 0.7500, 0.5000)  4 Ge 2.40, 4 Fe 2.62
Ge (0.2500, 0.2500, 0.6697)  1 C 1.97
C (0.2500, 0.2500, 0.8891)  1 Ge 1.97

Formation energy ... -0.28 eV/atom
Final energy ... -8.229 eV/atom
Crystal system ... tetragonal
Total magnetic moment ... 2.27 μB per formula unit